This record from Alexandria describes an optimized crystal structure of Li2Tl3Pb3. The functional is PBE-GGA.

```
data_Li2Tl3Pb3
_symmetry_space_group_name_H-M 'P -6 2 m'
_symmetry_Int_Tables_number 189
_symmetry_space_group_name_Hall 'P -6 -2'
_cell_length_a 8.3715
_cell_length_b 8.3715
_cell_length_c 3.5846
_cell_angle_alpha 90.00
_cell_angle_beta 90.00
_cell_angle_gamma 120.00
loop_
_atom_site_label
_atom_site_type_symbol
_atom_site_fract_x
_atom_site_fract_y
_atom_site_fract_z
Li1 Li 0.3333 0.6667 0.0000
Tl1 Tl 0.0000 0.2394 0.0000
Pb1 Pb 0.0000 0.5971 0.5000
```

Results
**Magnetic moment**: 0.00 μB/f.u.
**ΔE_f**: -0.65 eV/f.u.
**V**: 27.20 Å³ per atom
**Calculated density**: 9.53 Mg/m³
**Total DFT energy (no corrections)**: -0.2085 Ry per atom